Entry from the Alexandria database: crystalline NaSr5Hg4 at its relaxed geometry (PBE).

It has space group P4/mmm (No. 123), with a = 4.0290 Å, b = 4.0290 Å, c = 21.2813 Å, α = 90.00°, β = 90.00° and γ = 90.00°. The distinct sites, in fractional coordinates, are Na at (0.0000, 0.0000, 0.0000), Sr at (0.5000, 0.5000, 0.1293), Sr at (0.5000, 0.5000, 0.3131), Sr at (0.5000, 0.5000, 0.5000), Hg at (0.0000, 0.0000, 0.2155) and Hg at (0.0000, 0.0000, 0.4065).

The calculation puts the formation energy at -0.43 eV per atom. Its theoretical density is 6.073 Mg/m³.

Entry from the Alexandria database: crystalline NaSrHg at its relaxed geometry (PBE).

It has space group P3m1 (No. 156), with a = 5.3090 Å, b = 5.3090 Å, c = 4.1358 Å, α = 90.00°, β = 90.00° and γ = 120.00°. The distinct sites, in fractional coordinates, are Na at (0.0000, 0.0000, 0.0000), Sr at (0.6667, 0.3333, 0.4979) and Hg at (0.3333, 0.6667, 0.9938).

For the energy above the lowest structure with this stoichiometry, the calculation gives 0.092 eV/atom. The calculation puts the formation energy at -0.26 eV per atom. Its theoretical density is 5.119 Mg/m³.

Entry from the Alexandria database: crystalline Na2SrHg10 at its relaxed geometry (PBE).

It has space group Fmmm (No. 69), with a = 6.6078 Å, b = 13.6585 Å, c = 15.8095 Å, α = 90.00°, β = 90.00° and γ = 90.00°. The distinct sites, in fractional coordinates, are Na at (0.2500, 0.0000, 0.2500), Sr at (0.0000, 0.0000, 0.0000), Hg at (0.0000, 0.1095, 0.3889), Hg at (0.0000, 0.1700, 0.1713) and Hg at (0.2500, 0.2500, 0.0000).

The calculation puts the formation energy at -0.17 eV per atom. Its theoretical density is 9.960 Mg/m³.

Entry from the Alexandria database: crystalline Na6SrHg2 at its relaxed geometry (PBE).

It has space group P4/mmm (No. 123), with a = 4.7631 Å, b = 4.7631 Å, c = 13.0170 Å, α = 90.00°, β = 90.00° and γ = 90.00°. The distinct sites, in fractional coordinates, are Na at (0.0000, 0.0000, 0.0000), Na at (0.0000, 0.5000, 0.2273), Na at (0.5000, 0.5000, 0.0000), Sr at (0.0000, 0.0000, 0.5000) and Hg at (0.5000, 0.5000, 0.3865).

The calculation puts the formation energy at -0.15 eV per atom. Its theoretical density is 3.524 Mg/m³.

For each record above, in turn, the calculated final energy values are -1.527, -1.356, -0.738, -1.285 eV per atom.